Record 1
A geometry-optimized SrScBe2 structure, computed with PBE.

abc: 6.747 6.747 6.747
angles: 90.00 90.00 90.00
Space group F-43m (No. 216)
Inequivalent atoms, fractional coordinates:
Sr  0.000  0.000  0.000
Sc  0.250  0.250  0.750
Be  0.000  0.000  0.500
Be  0.250  0.250  0.250

Results
V: 307.08 Å³/cell
theoretical density: 3.3 g/cm3
M_tot: 0.0 μB per cell
ΔH_f (0 K): 730 meV per atom



Record 2
A geometry-optimized Co2SiHg structure, computed with PBE.

abc: 2.793 2.793 6.724
angles: 90.00 90.00 90.00
Space group P4/mmm (No. 123)
Inequivalent atoms, fractional coordinates:
Co  0.000  0.000  0.194
Si  0.500  0.500  0.000
Hg  0.500  0.500  0.500

Results
energy relative to the elements, uncorrected: -0.10 eV per atom
V: 52.44 Å³/cell
theoretical density: 11.0 g/cm3
M_tot: 0.0 μB per cell



Record 3
A geometry-optimized La2TiV structure, computed with PBE.

abc: 8.251 8.251 6.304
angles: 90.00 90.00 90.00
Space group I-42d (No. 122)
Inequivalent atoms, fractional coordinates:
La  0.232  0.250  0.125
Ti  0.000  0.000  0.500
V  0.000  0.000  0.000

Results
V: 429.17 Å³/cell
theoretical density: 5.8 g/cm3
M_tot: 4.0 μB per cell
ΔH_f (0 K): 761 meV per atom



Record 4
A geometry-optimized Cr2CoMo structure, computed with PBE.

abc: 3.183 3.981 7.890
angles: 90.00 90.00 90.00
Space group Cmmm (No. 65)
Inequivalent atoms, fractional coordinates:
Cr  0.000  0.000  0.224
Co  0.000  0.500  0.000
Mo  0.000  0.500  0.500

Results
V: 99.97 Å³/cell
theoretical density: 8.6 g/cm3
M_tot: 0.0 μB per cell
ΔH_f (0 K): 150 meV per atom



Record 5
A geometry-optimized MnCrCl2 structure, computed with PBE.

abc: 5.861 5.861 5.861
angles: 90.00 90.00 90.00
Space group Fm-3m (No. 225)
Inequivalent atoms, fractional coordinates:
Mn  0.000  0.000  0.000
Cr  0.000  0.000  0.500
Cl  0.250  0.250  0.250

Results
energy relative to the elements, uncorrected: 0.81 eV per atom
V: 201.32 Å³/cell
theoretical density: 5.9 g/cm3
M_tot: 0.0 μB per cell



Record 6
A geometry-optimized Ce2ErRe structure, computed with PBE.

abc: 3.8497 3.8497 26.5855
angles: 90.00 90.00 120.00
Space group R-3m (No. 166, hexagonal axes)
Inequivalent atoms, fractional coordinates:
Ce  0.0000  0.0000  0.2282
Er  0.0000  0.0000  0.0000
Re  0.0000  0.0000  0.5000

Results
V: 341.21 Å³/cell
theoretical density: 9.3 g/cm3
M_tot: 0.0 μB per cell
ΔH_f (0 K): 325 meV per atom



Record 7
A geometry-optimized Pr3Ga4 structure, computed with PBE.

abc: 4.287 14.500 6.004
angles: 90.00 110.91 90.00
Space group P2_1/m (No. 11)
Inequivalent atoms, fractional coordinates:
Pr  0.009  0.250  0.020
Pr  0.292  0.600  0.583
Ga  0.000  0.000  0.000
Ga  0.285  0.250  0.572
Ga  0.420  0.099  0.841

Results
V: 348.63 Å³/cell
theoretical density: 6.7 g/cm3
M_tot: 0.0 μB per cell
ΔH_f (0 K): -564 meV per atom



Record 8
A geometry-optimized BaZn3Pt structure, computed with PBE.

abc: 6.235 10.913 6.441
angles: 90.00 90.00 90.00
Space group Pnma (No. 62)
Inequivalent atoms, fractional coordinates:
Ba  0.000  0.000  0.000
Zn  0.006  0.124  0.497
Zn  0.235  0.250  0.773
Pt  0.237  0.250  0.231

Results
V: 438.22 Å³/cell
theoretical density: 8.0 g/cm3
M_tot: 0.0 μB per cell
ΔH_f (0 K): -359 meV per atom



Record 9
A geometry-optimized LaTbAlZn structure, computed with PBE.

abc: 7.415 7.415 7.415
angles: 90.00 90.00 90.00
Space group F-43m (No. 216)
Inequivalent atoms, fractional coordinates:
La  0.000  0.000  0.000
Tb  0.000  0.000  0.500
Al  0.250  0.250  0.250
Zn  0.250  0.250  0.750

Results
V: 407.77 Å³/cell
theoretical density: 6.4 g/cm3
M_tot: 0.0 μB per cell
ΔH_f (0 K): -338 meV per atom



Record 10
A geometry-optimized LiZnRh structure, computed with PBE.

abc: 2.7433 2.7433 6.5468
angles: 90.00 90.00 120.00
Space group P3m1 (No. 156)
Inequivalent atoms, fractional coordinates:
Li  0.0000  0.0000  0.0000
Zn  0.3333  0.6667  0.6432
Rh  0.6667  0.3333  0.3202

Results
V: 42.67 Å³/cell
theoretical density: 6.8 g/cm3
M_tot: 0.0 μB per cell
ΔH_f (0 K): -176 meV per atom



Record 11
A geometry-optimized Ag3Sb12Au5 structure, computed with PBE.

abc: 16.476 16.476 16.476
angles: 90.00 90.00 90.00
Space group Ia-3d (No. 230)
Inequivalent atoms, fractional coordinates:
Ag  0.000  0.250  0.125
Sb  0.027  0.083  0.648
Au  0.000  0.000  0.000
Au  0.000  0.250  0.375

Results
energy relative to the elements, uncorrected: 0.11 eV per atom
V: 4472.65 Å³/cell
theoretical density: 8.2 g/cm3
M_tot: 0.0 μB per cell



Record 12
A geometry-optimized TbTmHg structure, computed with PBE.

abc: 8.738 3.710 15.363
angles: 90.00 91.29 90.00
Space group P2_1/m (No. 11)
Inequivalent atoms, fractional coordinates:
Tb  0.022  0.250  0.284
Tb  0.374  0.750  0.911
Tb  0.475  0.750  0.608
Tm  0.030  0.250  0.904
Tm  0.143  0.250  0.552
Tm  0.353  0.750  0.215
Hg  0.235  0.750  0.405
Hg  0.256  0.250  0.064
Hg  0.283  0.250  0.745

Results
V: 497.95 Å³/cell
theoretical density: 10.6 g/cm3
M_tot: 0.0 μB per cell
ΔH_f (0 K): -289 meV per atom



Record 13
A geometry-optimized TcNiB structure, computed with PBE.

abc: 2.917 9.838 4.442
angles: 90.00 90.00 90.00
Space group Cmc2_1 (No. 36)
Inequivalent atoms, fractional coordinates:
Tc  0.000  0.211  0.000
Ni  0.000  0.058  0.492
B  0.000  0.427  0.308

Results
V: 127.47 Å³/cell
theoretical density: 8.7 g/cm3
M_tot: 0.0 μB per cell
ΔH_f (0 K): -109 meV per atom



Record 14
A geometry-optimized MgAg3 structure, computed with PBE.

abc: 4.263 4.263 3.970
angles: 90.00 90.00 90.00
Space group P4/mmm (No. 123)
Inequivalent atoms, fractional coordinates:
Mg  0.000  0.000  0.000
Ag  0.000  0.500  0.500
Ag  0.500  0.500  0.000

Results
V: 72.14 Å³/cell
theoretical density: 8.0 g/cm3
M_tot: 0.0 μB per cell
ΔH_f (0 K): -136 meV per atom



Record 15
A geometry-optimized AcTbGdHg structure, computed with PBE.

abc: 7.923 7.923 7.923
angles: 90.00 90.00 90.00
Space group F-43m (No. 216)
Inequivalent atoms, fractional coordinates:
Ac  0.000  0.000  0.000
Tb  0.250  0.250  0.250
Gd  0.250  0.250  0.750
Hg  0.000  0.000  0.500

Results
V: 497.37 Å³/cell
theoretical density: 9.9 g/cm3
M_tot: 33.1 μB per cell
ΔH_f (0 K): 24 meV per atom



Record 16
A geometry-optimized Er6Pb3N2 structure, computed with PBE.

abc: 4.672 4.672 25.020
angles: 90.00 90.00 90.00
Space group I4/mmm (No. 139)
Inequivalent atoms, fractional coordinates:
Er  0.000  0.000  0.190
Er  0.000  0.500  0.085
Pb  0.000  0.000  0.320
Pb  0.000  0.000  0.500
N  0.000  0.000  0.101

Results
energy relative to the elements, uncorrected: -0.93 eV per atom
V: 546.21 Å³/cell
theoretical density: 10.1 g/cm3
M_tot: 0.0 μB per cell



Record 17
A geometry-optimized CeAu3Cl9 structure, computed with PBE.

abc: 19.673 8.066 14.543
angles: 90.00 128.26 90.00
Space group Cc (No. 9)
Inequivalent atoms, fractional coordinates:
Ce  0.000  0.040  0.000
Au  0.015  0.277  0.269
Au  0.294  0.423  0.943
Au  0.428  0.060  0.291
Cl  0.022  0.215  0.863
Cl  0.080  0.197  0.464
Cl  0.142  0.029  0.201
Cl  0.162  0.439  0.346
Cl  0.267  0.280  0.053
Cl  0.321  0.436  0.324
Cl  0.345  0.173  0.721
Cl  0.435  0.290  0.050
Cl  0.461  0.188  0.574

Results
energy relative to the elements, uncorrected: -0.83 eV per atom
V: 1812.02 Å³/cell
theoretical density: 3.8 g/cm3
M_tot: 0.5 μB per cell



Record 18
A geometry-optimized CaTb5In4 structure, computed with PBE.

abc: 8.678 8.918 8.311
angles: 90.00 90.00 90.00
Space group Pmmn (No. 59, origin choice 2)
Inequivalent atoms, fractional coordinates:
Ca  0.250  0.250  0.106
Tb  0.018  0.050  0.756
Tb  0.250  0.750  0.577
In  0.092  0.750  0.951
In  0.250  0.087  0.465

Results
V: 643.17 Å³/cell
theoretical density: 6.7 g/cm3
M_tot: 0.0 μB per cell
ΔH_f (0 K): -84 meV per atom



Record 19
A geometry-optimized PaHN2Cl structure, computed with PBE.

abc: 5.711 3.676 7.134
angles: 90.00 103.57 90.00
Space group P2_1/m (No. 11)
Inequivalent atoms, fractional coordinates:
Pa  0.140  0.250  0.211
H  0.482  0.250  0.887
N  0.079  0.250  0.890
N  0.362  0.750  0.163
Cl  0.255  0.750  0.563

Results
V: 145.59 Å³/cell
theoretical density: 6.7 g/cm3
M_tot: 0.3 μB per cell
DFT total energy: -7.13 eV/atom



Record 20
A geometry-optimized ScCd4As structure, computed with PBE.

abc: 8.157 8.157 8.157
angles: 90.00 90.00 90.00
Space group F-43m (No. 216)
Inequivalent atoms, fractional coordinates:
Sc  0.000  0.000  0.000
Cd  0.125  0.125  0.375
As  0.250  0.250  0.750

Results
V: 542.65 Å³/cell
theoretical density: 7.0 g/cm3
M_tot: 0.0 μB per cell
ΔH_f (0 K): 92 meV per atom